<P>
VASP calculation (PBE) on a relaxed structure of TbPrY4.

magnetization: 0.0 μB/cell
calculated density: 5531 kg/m3

Cell: 3.591 6.217 9.507 Å, 77.56 79.13 73.40°
Space group P-1 (No. 2)
Unique sites:
1 Tb 0.000 0.000 0.000 (multiplicity 1)
2 Pr 0.000 0.500 0.500 (multiplicity 1)
3 Y 0.333 0.499 0.836 (multiplicity 2)
4 Y 0.334 0.002 0.331 (multiplicity 2)


<Q>
VASP calculation (PBE) on a relaxed structure of TbPrY4.

magnetization: 0.0 μB/cell
calculated density: 5547 kg/m3

Cell: 5.705 9.898 6.950 Å, 90.00 90.00 90.00°
Space group Cmmm (No. 65)
Unique sites:
1 Tb 0.000 0.000 0.000 (multiplicity 2)
2 Pr 0.000 0.000 0.500 (multiplicity 2)
3 Y 0.000 0.334 0.247 (multiplicity 8)


Result of the stability comparison: <P> is the most stable of them.


<P>
VASP calculation (PBE) on a relaxed structure of TbPrZn.

magnetization: 0.0 μB/cell
calculated density: 7262 kg/m3

Cell: 5.0338 5.0338 3.8058 Å, 90.00 90.00 120.00°
Space group P3m1 (No. 156)
Unique sites:
1 Tb 0.0000 0.0000 0.0000 (multiplicity 1)
2 Pr 0.6667 0.3333 0.5494 (multiplicity 1)
3 Zn 0.3333 0.6667 0.2091 (multiplicity 1)


<Q>
VASP calculation (PBE) on a relaxed structure of TbPrZn.

magnetization: 0.0 μB/cell
calculated density: 6652 kg/m3

Cell: 7.144 7.144 7.144 Å, 90.00 90.00 90.00°
Space group F-43m (No. 216)
Unique sites:
1 Tb 0.000 0.000 0.000 (multiplicity 4)
2 Pr 0.000 0.000 0.500 (multiplicity 4)
3 Zn 0.250 0.250 0.250 (multiplicity 4)


<R>
VASP calculation (PBE) on a relaxed structure of TbPrZn.

magnetization: 0.0 μB/cell
calculated density: 7277 kg/m3

Cell: 3.664 3.664 12.414 Å, 90.00 90.00 90.00°
Space group I4mm (No. 107)
Unique sites:
1 Tb 0.000 0.000 0.000 (multiplicity 2)
2 Pr 0.000 0.000 0.712 (multiplicity 2)
3 Zn 0.000 0.000 0.368 (multiplicity 2)


Result of the stability comparison: <R> is the most stable of them.


<P>
VASP calculation (PBE) on a relaxed structure of TbPr4Zn.

magnetization: 0.0 μB/cell
calculated density: 6799 kg/m3

Cell: 3.696 3.696 14.087 Å, 90.00 90.00 90.00°
Space group P4/mmm (No. 123)
Unique sites:
1 Tb 0.000 0.000 0.000 (multiplicity 1)
2 Pr 0.000 0.000 0.368 (multiplicity 2)
3 Pr 0.500 0.500 0.180 (multiplicity 2)
4 Zn 0.500 0.500 0.500 (multiplicity 1)


<Q>
VASP calculation (PBE) on a relaxed structure of TbPr4Zn.

magnetization: 0.0 μB/cell
calculated density: 6763 kg/m3

Cell: 9.142 13.849 6.454 Å, 90.00 108.71 90.00°
Space group C2/c (No. 15)
Unique sites:
1 Tb 0.000 0.093 0.250 (multiplicity 4)
2 Pr 0.104 0.318 0.551 (multiplicity 8)
3 Pr 0.221 0.111 0.875 (multiplicity 8)
4 Zn 0.000 0.499 0.250 (multiplicity 4)


Result of the stability comparison: <P> is the most stable of them.


<P>
VASP calculation (PBE) on a relaxed structure of TbPr2Zn.

magnetization: 0.0 μB/cell
calculated density: 7090 kg/m3

Cell: 5.192 5.192 17.588 Å, 90.00 90.00 90.00°
Space group I4/mmm (No. 139)
Unique sites:
1 Tb 0.000 0.000 0.150 (multiplicity 4)
2 Pr 0.000 0.000 0.355 (multiplicity 4)
3 Pr 0.000 0.500 0.000 (multiplicity 4)
4 Zn 0.000 0.500 0.250 (multiplicity 4)


<Q>
VASP calculation (PBE) on a relaxed structure of TbPr2Zn.

magnetization: 0.0 μB/cell
calculated density: 6771 kg/m3

Cell: 3.6676 3.6676 31.9687 Å, 90.00 90.00 120.00°
Space group R-3m (No. 166, hexagonal axes)
Unique sites:
1 Tb 0.0000 0.0000 0.0000 (multiplicity 3)
2 Pr 0.0000 0.0000 0.2402 (multiplicity 6)
3 Zn 0.0000 0.0000 0.5000 (multiplicity 3)


Result of the stability comparison: <P> is the most stable of them.


<P>
VASP calculation (PBE) on a relaxed structure of TbPr2Zn.

magnetization: 0.0 μB/cell
calculated density: 7171 kg/m3

Cell: 7.768 7.768 7.768 Å, 90.00 90.00 90.00°
Space group Fm-3m (No. 225)
Unique sites:
1 Tb 0.000 0.000 0.000 (multiplicity 4)
2 Pr 0.250 0.250 0.250 (multiplicity 8)
3 Zn 0.000 0.000 0.500 (multiplicity 4)


<Q>
VASP calculation (PBE) on a relaxed structure of TbPr2Zn.

magnetization: 0.0 μB/cell
calculated density: 7000 kg/m3

Cell: 3.693 3.693 8.802 Å, 90.00 90.00 90.00°
Space group P4/mmm (No. 123)
Unique sites:
1 Tb 0.000 0.000 0.000 (multiplicity 1)
2 Pr 0.500 0.500 0.288 (multiplicity 2)
3 Zn 0.000 0.000 0.500 (multiplicity 1)


Result of the stability comparison: <Q> is the most stable of them.


<P>
VASP calculation (PBE) on a relaxed structure of Tb2PrZn.

magnetization: 0.0 μB/cell
calculated density: 7778 kg/m3

Cell: 7.650 7.650 7.650 Å, 90.00 90.00 90.00°
Space group Fm-3m (No. 225)
Unique sites:
1 Tb 0.250 0.250 0.250 (multiplicity 8)
2 Pr 0.000 0.000 0.000 (multiplicity 4)
3 Zn 0.000 0.000 0.500 (multiplicity 4)


<Q>
VASP calculation (PBE) on a relaxed structure of Tb2PrZn.

magnetization: 0.0 μB/cell
calculated density: 7616 kg/m3

Cell: 3.614 3.614 8.749 Å, 90.00 90.00 90.00°
Space group P4/mmm (No. 123)
Unique sites:
1 Tb 0.000 0.000 0.202 (multiplicity 2)
2 Pr 0.500 0.500 0.500 (multiplicity 1)
3 Zn 0.500 0.500 0.000 (multiplicity 1)


Result of the stability comparison: <Q> is the most stable of them.


<P>
VASP calculation (PBE) on a relaxed structure of Tb2PrZn.

magnetization: 0.0 μB/cell
calculated density: 7283 kg/m3

Cell: 3.6425 3.6425 31.2032 Å, 90.00 90.00 120.00°
Space group R3m (No. 160, hexagonal axes)
Unique sites:
1 Tb 0.0000 0.0000 0.0000 (multiplicity 3)
2 Tb 0.0000 0.0000 0.1936 (multiplicity 3)
3 Pr 0.0000 0.0000 0.4307 (multiplicity 3)
4 Zn 0.0000 0.0000 0.5965 (multiplicity 3)


<Q>
VASP calculation (PBE) on a relaxed structure of Tb2PrZn.

magnetization: 0.0 μB/cell
calculated density: 7809 kg/m3

Cell: 4.805 4.805 4.828 Å, 90.00 90.00 90.00°
Space group P4/mmm (No. 123)
Unique sites:
1 Tb 0.000 0.500 0.000 (multiplicity 2)
2 Pr 0.000 0.000 0.500 (multiplicity 1)
3 Zn 0.500 0.500 0.500 (multiplicity 1)


Result of the stability comparison: <P> is the most stable of them.


<P>
VASP calculation (PBE) on a relaxed structure of Tb2PrZr.

magnetization: 0.0 μB/cell
calculated density: 7618 kg/m3

Cell: 4.921 4.921 4.951 Å, 90.00 90.00 90.00°
Space group P4/mmm (No. 123)
Unique sites:
1 Tb 0.000 0.500 0.000 (multiplicity 2)
2 Pr 0.000 0.000 0.500 (multiplicity 1)
3 Zr 0.500 0.500 0.500 (multiplicity 1)


<Q>
VASP calculation (PBE) on a relaxed structure of Tb2PrZr.

magnetization: 6.0 μB/cell
calculated density: 7530 kg/m3

Cell: 7.858 7.858 7.858 Å, 90.00 90.00 90.00°
Space group Fm-3m (No. 225)
Unique sites:
1 Tb 0.250 0.250 0.250 (multiplicity 8)
2 Pr 0.000 0.000 0.000 (multiplicity 4)
3 Zr 0.000 0.000 0.500 (multiplicity 4)


Result of the stability comparison: <P> is the most stable of them.


<P>
VASP calculation (PBE) on a relaxed structure of Tb2PrZr.

magnetization: 0.0 μB/cell
calculated density: 7564 kg/m3

Cell: 3.4911 3.4911 34.3193 Å, 90.00 90.00 120.00°
Space group R3m (No. 160, hexagonal axes)
Unique sites:
1 Tb 0.0000 0.0000 0.0000 (multiplicity 3)
2 Tb 0.0000 0.0000 0.1801 (multiplicity 3)
3 Pr 0.0000 0.0000 0.4234 (multiplicity 3)
4 Zr 0.0000 0.0000 0.5900 (multiplicity 3)


<Q>
VASP calculation (PBE) on a relaxed structure of Tb2PrZr.

magnetization: 0.0 μB/cell
calculated density: 7507 kg/m3

Cell: 3.4010 3.4010 36.4342 Å, 90.00 90.00 120.00°
Space group R-3m (No. 166, hexagonal axes)
Unique sites:
1 Tb 0.0000 0.0000 0.0849 (multiplicity 6)
2 Pr 0.0000 0.0000 0.5000 (multiplicity 3)
3 Zr 0.0000 0.0000 0.0000 (multiplicity 3)


Result of the stability comparison: <P> is the most stable of them.


<P>
VASP calculation (PBE) on a relaxed structure of PrThTc.

magnetization: 0.0 μB/cell
calculated density: 8934 kg/m3

Cell: 7.084 6.910 8.578 Å, 90.00 123.50 90.00°
Space group P2_1/c (No. 14)
Unique sites:
1 Pr 0.191 0.160 0.414 (multiplicity 4)
2 Th 0.316 0.667 0.610 (multiplicity 4)
3 Tc 0.314 0.546 0.304 (multiplicity 4)


<Q>
VASP calculation (PBE) on a relaxed structure of PrThTc.

magnetization: 0.0 μB/cell
calculated density: 9067 kg/m3

Cell: 7.013 7.013 7.013 Å, 90.00 90.00 90.00°
Space group F-43m (No. 216)
Unique sites:
1 Pr 0.000 0.000 0.000 (multiplicity 4)
2 Th 0.000 0.000 0.500 (multiplicity 4)
3 Tc 0.250 0.250 0.750 (multiplicity 4)


Result of the stability comparison: <P> is the most stable of them.


<P>
VASP calculation (PBE) on a relaxed structure of PrThTc.

magnetization: 0.0 μB/cell
calculated density: 10312 kg/m3

Cell: 3.570 3.570 11.898 Å, 90.00 90.00 90.00°
Space group I4mm (No. 107)
Unique sites:
1 Pr 0.000 0.000 0.000 (multiplicity 2)
2 Th 0.000 0.000 0.296 (multiplicity 2)
3 Tc 0.000 0.000 0.668 (multiplicity 2)


<Q>
VASP calculation (PBE) on a relaxed structure of PrThTc.

magnetization: 0.0 μB/cell
calculated density: 9182 kg/m3

Cell: 4.6443 4.6443 27.3643 Å, 90.00 90.00 120.00°
Space group R-3m (No. 166, hexagonal axes)
Unique sites:
1 Pr 0.0000 0.0000 0.1287 (multiplicity 6)
2 Th 0.0000 0.0000 0.2906 (multiplicity 6)
3 Tc 0.0000 0.0000 0.4068 (multiplicity 6)


Result of the stability comparison: <P> is the most stable of them.


<P>
VASP calculation (PBE) on a relaxed structure of PrTmTc.

magnetization: 0.0 μB/cell
calculated density: 8188 kg/m3

Cell: 6.967 12.504 7.595 Å, 90.00 90.00 90.00°
Space group Cmce (No. 64)
Unique sites:
1 Pr 0.000 0.197 0.113 (multiplicity 8)
2 Tm 0.250 0.040 0.750 (multiplicity 8)
3 Tc 0.000 0.096 0.464 (multiplicity 8)


<Q>
VASP calculation (PBE) on a relaxed structure of PrTmTc.

magnetization: 0.0 μB/cell
calculated density: 8668 kg/m3

Cell: 3.501 3.501 12.752 Å, 90.00 90.00 90.00°
Space group I4mm (No. 107)
Unique sites:
1 Pr 0.000 0.000 0.000 (multiplicity 2)
2 Tm 0.000 0.000 0.741 (multiplicity 2)
3 Tc 0.000 0.000 0.362 (multiplicity 2)


Result of the stability comparison: <Q> is the most stable of them.


<P>
VASP calculation (PBE) on a relaxed structure of PrUTc.

magnetization: 0.1 μB/cell
calculated density: 11257 kg/m3

Cell: 3.492 3.492 11.539 Å, 90.00 90.00 90.00°
Space group I4mm (No. 107)
Unique sites:
1 Pr 0.000 0.000 0.000 (multiplicity 2)
2 U 0.000 0.000 0.701 (multiplicity 2)
3 Tc 0.000 0.000 0.290 (multiplicity 2)


<Q>
VASP calculation (PBE) on a relaxed structure of PrUTc.

magnetization: 0.0 μB/cell
calculated density: 10989 kg/m3

Cell: 3.5139 3.5139 6.7396 Å, 90.00 90.00 120.00°
Space group P3m1 (No. 156)
Unique sites:
1 Pr 0.0000 0.0000 0.0000 (multiplicity 1)
2 U 0.6667 0.3333 0.3989 (multiplicity 1)
3 Tc 0.3333 0.6667 0.6253 (multiplicity 1)


Result of the stability comparison: <P> is the most stable of them.